# 1
Computed, not measured: a relaxed structure of Na4Nd3YS8 at the PBE level of DFT.

Cell lengths 8.1964, 8.1964, 20.0806 Å; angles 90.00, 90.00, 120.00 degrees
With the nearest neighbours (Å) after each atom.
Space group R-3m (No. 166, hexagonal axes)
Asymmetric unit:
Na  0.0000  0.0000  0.0000 (multiplicity 3)  6 S 3.01
Na  0.0000  0.5000  0.0000 (multiplicity 9)  6 S 2.95-2.96
Nd  0.0000  0.5000  0.5000 (multiplicity 9)  6 S 2.84-2.85
Y  0.0000  0.0000  0.5000 (multiplicity 3)  6 S 2.78
S  0.0000  0.0000  0.2448 (multiplicity 6)  3 Nd 2.84, 3 Na 2.96
S  0.0072  0.5036  0.2436 (multiplicity 18)  1 Y 2.78, 2 Nd 2.85, 3 Na 2.95-3.01

raw formation energy	-1.8053	eV per atom
magnetic moment	0.00	μB/f.u.
raw total energy	-0.202	hartree per atom

# 2
Computed, not measured: a relaxed structure of Na4NdY3S8 at the PBE level of DFT.

Cell lengths 8.0513, 8.0513, 20.0657 Å; angles 90.00, 90.00, 120.00 degrees
With the nearest neighbours (Å) after each atom.
Space group R-3m (No. 166, hexagonal axes)
Asymmetric unit:
Na  0.0000  0.0000  0.0000 (multiplicity 3)  6 S 2.91
Na  0.0000  0.5000  0.0000 (multiplicity 9)  6 S 2.96-2.97
Nd  0.0000  0.0000  0.5000 (multiplicity 3)  6 S 2.83
Y  0.0000  0.5000  0.5000 (multiplicity 9)  6 S 2.76-2.77
S  0.0000  0.0000  0.2421 (multiplicity 6)  3 Y 2.77, 3 Na 2.96
S  0.0071  0.5036  0.7569 (multiplicity 18)  2 Y 2.76, 1 Nd 2.83, 3 Na 2.91-2.97

raw formation energy	-1.8343	eV per atom
magnetic moment	0.00	μB/f.u.
raw total energy	-0.211	hartree per atom